[1]
## SrMg2Sc (meta-GGA SCAN)

Data for SrMg2Sc at its PBEsol-relaxed geometry.

Computed properties:
The calculation puts the excess energy over the best structure of this formula in the dataset at 0.0 meV per atom. The calculated density is 2.66 g cm⁻³. The energy of formation is -0.014 eV per formula unit.

extended XYZ file:
```
4
Lattice="3.800 0.000 0.000 0.000 3.780 0.000 0.000 0.000 7.880" Properties=species:S:1:pos:R:3 pbc="T T T"
Sc 1.900 1.890 0.000
Mg 0.000 0.000 1.609
Sr 1.900 1.890 3.940
Mg 0.000 0.000 6.272
```

=====

[2]
## SrMgSc2 (meta-GGA SCAN)

Data for SrMgSc2 at its PBEsol-relaxed geometry.

Computed properties:
The calculated density is 2.92 g cm⁻³. The energy of formation is 0.762 eV per formula unit.

extended XYZ file:
```
4
Lattice="3.603 0.000 0.000 0.000 3.603 0.000 0.000 0.000 8.835" Properties=species:S:1:pos:R:3 pbc="T T T"
Sc 0.000 0.000 6.077
Sr 1.801 1.801 0.000
Sc 0.000 0.000 2.759
Mg 1.801 1.801 4.418
```

=====

[3]
## SrMgSc3 (meta-GGA SCAN)

Data for SrMgSc3 at its PBEsol-relaxed geometry.

Computed properties:
The calculated density is 2.63 g cm⁻³. The energy of formation is 2.984 eV per formula unit.

extended XYZ file:
```
5
Lattice="5.384 0.000 0.000 0.000 5.384 0.000 0.000 0.000 5.384" Properties=species:S:1:pos:R:3 pbc="T T T"
Sc 0.000 2.692 0.000
Mg 0.000 0.000 0.000
Sc 0.000 0.000 2.692
Sr 2.692 2.692 2.692
Sc 2.692 0.000 0.000
```

=====

[4]
## SrMgSc2 (meta-GGA SCAN)

Data for SrMgSc2 at its PBEsol-relaxed geometry.

Computed properties:
The calculated density is 2.96 g cm⁻³. The energy of formation is 1.096 eV per formula unit.

extended XYZ file:
```
4
Lattice="4.720 0.000 0.000 0.000 4.720 0.000 0.000 0.000 5.076" Properties=species:S:1:pos:R:3 pbc="T T T"
Sc 0.000 2.360 0.000
Sc 2.360 0.000 0.000
Mg 0.000 0.000 2.538
Sr 2.360 2.360 2.538
```

=====

[5]
## SrMg4Sc (meta-GGA SCAN)

Data for SrMg4Sc at its PBEsol-relaxed geometry.

Computed properties:
The calculated density is 2.42 g cm⁻³. The energy of formation is -0.073 eV per formula unit.

extended XYZ file:
```
6
Lattice="-4.457 3.406 -2.304 -4.543 -2.611 -3.052 -5.552 -0.222 2.430" Properties=species:S:1:pos:R:3 pbc="T T T"
Mg -7.725 -1.079 -2.613
Mg -7.682 1.904 -2.243
Sc -10.914 0.430 -2.195
Sr 0.000 0.000 0.000
Mg -5.473 0.216 -1.100
Mg -8.224 0.106 0.104
```

=====

[6]
## SrMg2Sc (meta-GGA SCAN)

Data for SrMg2Sc at its PBEsol-relaxed geometry.

Computed properties:
The calculation puts the excess energy over the best structure of this formula in the dataset at 98.9 meV per atom. The calculated density is 2.69 g cm⁻³. The energy of formation is 0.382 eV per formula unit.

extended XYZ file:
```
4
Lattice="3.706 0.000 0.000 0.000 5.494 0.043 0.000 -0.044 5.493" Properties=species:S:1:pos:R:3 pbc="T T T"
Mg 0.000 -0.022 2.747
Sc 1.853 0.000 0.000
Sr 1.853 2.725 2.768
Mg 0.000 2.747 0.022
```

=====

[7]
## MgSc4Ta (meta-GGA SCAN)

Data for MgSc4Ta at its PBEsol-relaxed geometry.

Computed properties:
The calculated density is 4.88 g cm⁻³. The energy of formation is 3.001 eV per formula unit.

extended XYZ file:
```
6
Lattice="5.701 0.000 0.000 2.850 4.937 0.000 2.850 1.646 4.655" Properties=species:S:1:pos:R:3 pbc="T T T"
Sc 5.701 4.912 1.754
Sc 5.701 3.291 4.046
Sc 4.297 2.481 1.754
Sc 7.104 2.481 1.754
Mg 0.000 0.000 0.000
Ta 8.551 4.937 3.491
```

=====

[8]
## Mg3ScTc (meta-GGA SCAN)

Data for Mg3ScTc at its PBEsol-relaxed geometry.

Computed properties:
The calculated density is 3.06 g cm⁻³. The energy of formation is 3.077 eV per formula unit.

extended XYZ file:
```
5
Lattice="-3.255 3.171 -1.819 -1.844 -3.528 -2.850 -3.157 -1.210 3.540" Properties=species:S:1:pos:R:3 pbc="T T T"
Sc -4.128 -0.783 -0.564
Tc 0.000 0.000 0.000
Mg -0.922 -1.764 -1.425
Mg -1.628 1.586 -0.910
Mg -1.579 -0.605 1.770
```